Entry 1:
KAlTe2 | PBEsol | optimized geometry

Results
Calculated density   4.8 g/cm³
DOS(E_F)   0.533 states/eV per atom
Space group   No. 119
Formation energy (no corrections)   -10.1 kJ per mole of atoms

a = 4.4670 Å, b = 4.4670 Å, c = 6.3580 Å
α = 110.57°, β = 110.57°, γ = 90.00°
Closest atoms and distances in Å follow each position.
Element x y z (fractional)
K  0.2500  0.7500  0.5000  4 Te 3.16
Te  0.0000  0.0000  0.0000  4 Al 3.16
Te  0.7500  0.2500  0.5000  4 K 3.16
Al  0.5000  0.5000  0.0000  4 Te 3.16

Entry 2:
KAlTe2 | PBEsol | optimized geometry

Results
Calculated density   3.9 g/cm³
Space group   No. 38
Formation energy (no corrections)   -63.9 kJ per mole of atoms

a = 4.2068 Å, b = 4.2608 Å, c = 7.9813 Å
α = 90.00°, β = 105.28°, γ = 90.00°
Closest atoms and distances in Å follow each position.
Element x y z (fractional)
K  0.5400  0.5000  0.0801  6 Te 3.43-3.51
Te  0.9214  0.0000  0.8428  2 Al 2.66
Te  0.2160  0.5000  0.4320  2 Al 2.62
Al  0.3153  0.0000  0.6306  4 Te 2.62-2.66

Entry 3:
KAl2Te | PBEsol | optimized geometry

Results
Calculated density   3.5 g/cm³
DOS(E_F)   0.733 states/eV per atom
Space group   No. 216
Formation energy (no corrections)   21.0 kJ per mole of atoms

a = 5.2860 Å, b = 5.2860 Å, c = 5.2860 Å
α = 60.00°, β = 60.00°, γ = 60.00°
Closest atoms and distances in Å follow each position.
Element x y z (fractional)
K  0.5000  0.5000  0.5000  4 Te 3.24, 4 Al 3.24
Te  0.2500  0.2500  0.2500  4 K 3.24, 4 Al 3.24
Al  0.0000  0.0000  0.0000  4 Al 3.24, 4 Te 3.24
Al  0.7500  0.7500  0.7500  4 Al 3.24, 4 K 3.24

Entry 4:
KAl2Te | PBEsol | optimized geometry

Results
Calculated density   3.5 g/cm³
DOS(E_F)   0.239 states/eV per atom
Space group   No. 99
Formation energy (no corrections)   -9.9 kJ per mole of atoms

a = 3.7765 Å, b = 3.7765 Å, c = 7.3895 Å
α = 90.00°, β = 90.00°, γ = 90.00°
Closest atoms and distances in Å follow each position.
Element x y z (fractional)
K  0.0000  0.0000  0.4941  6 Al 3.54-3.85, 4 Te 3.56, 4 K 3.78
Te  0.5000  0.5000  0.8123  1 Al 2.70
Al  0.0000  0.0000  0.0157  4 Al 2.93, 4 Te 3.06
Al  0.5000  0.5000  0.1780  1 Te 2.70, 4 Al 2.93

Entry 5:
KAlTe2 | PBEsol | optimized geometry

Results
Calculated density   4.4 g/cm³
DOS(E_F)   0.462 states/eV per atom
Space group   No. 44
Formation energy (no corrections)   -40.8 kJ per mole of atoms

a = 3.7453 Å, b = 3.9443 Å, c = 8.6691 Å
α = 103.15°, β = 102.48°, γ = 90.00°
Closest atoms and distances in Å follow each position.
Element x y z (fractional)
K  0.1978  0.6980  0.3956  6 Te 3.47-3.49, 2 K 3.75
Te  0.0232  0.0229  0.0464  4 Al 2.97
Te  0.8283  0.3286  0.6566  2 Al 2.75
Al  0.4507  0.4506  0.9013  6 Te 2.75-2.97

Entry 6:
KAlTe2 | PBEsol | optimized geometry

Results
Calculated density   4.7 g/cm³
DOS(E_F)   0.510 states/eV per atom
Space group   No. 123
Formation energy (no corrections)   -21.7 kJ per mole of atoms

a = 3.0867 Å, b = 6.0496 Å, c = 6.0496 Å
α = 90.00°, β = 90.00°, γ = 90.00°
Closest atoms and distances in Å follow each position.
Element x y z (fractional)
K  0.5000  0.0000  0.0000  2 K 3.09, 8 Te 3.40
Te  0.0000  0.0000  0.5000  2 Te 3.09, 4 Al 3.40, 4 K 3.40
Te  0.0000  0.5000  0.0000  2 Te 3.09, 4 Al 3.40, 4 K 3.40
Al  0.5000  0.5000  0.5000  2 Al 3.09, 8 Te 3.40

Entry 7:
KAlTe2 | PBEsol | optimized geometry

Results
Calculated density   4.3 g/cm³
DOS(E_F)   0.000 states/eV per atom
Space group   No. 140
Formation energy (no corrections)   -72.9 kJ per mole of atoms

a = 6.9010 Å, b = 6.9277 Å, c = 6.9277 Å
α = 75.64°, β = 60.13°, γ = 60.13°
Closest atoms and distances in Å follow each position.
Element x y z (fractional)
K  0.2500  0.0000  0.0000  2 K 3.45, 8 Te 3.60
K  0.7500  0.0000  0.0000  2 K 3.45, 8 Te 3.60
Te  0.1677  0.5000  0.1646  2 Al 2.65
Te  0.8323  0.5000  0.8354  2 Al 2.65
Te  0.3323  0.8354  0.5000  2 Al 2.65
Te  0.6677  0.1646  0.5000  2 Al 2.65
Al  0.2500  0.5000  0.5000  4 Te 2.65
Al  0.7500  0.5000  0.5000  4 Te 2.65

Entry 8:
K2AlTe | PBEsol | optimized geometry

Results
Calculated density   2.6 g/cm³
DOS(E_F)   0.350 states/eV per atom
Distance to the lowest polymorph of the same formula   0.0000 eV/atom
Space group   No. 122
Formation energy (no corrections)   2.3 kJ per mole of atoms

a = 5.0542 Å, b = 5.0542 Å, c = 12.0922 Å
α = 102.06°, β = 102.06°, γ = 90.00°
Closest atoms and distances in Å follow each position.
Element x y z (fractional)
K  0.8892  0.3750  0.2500  2 Te 3.37, 2 Al 3.42, 4 K 3.47-3.68
K  0.3608  0.8750  0.2500  2 Te 3.37, 2 Al 3.42, 4 K 3.47-3.68
K  0.6250  0.6392  0.7500  2 Te 3.37, 2 Al 3.42, 4 K 3.47-3.68
K  0.1250  0.1108  0.7500  2 Te 3.37, 2 Al 3.42, 4 K 3.47-3.68
Te  0.2500  0.7500  0.5000  4 K 3.37, 4 Al 3.57
Te  0.0000  0.0000  0.0000  4 K 3.37, 4 Al 3.57
Al  0.7500  0.2500  0.5000  4 K 3.42, 4 Te 3.57
Al  0.5000  0.5000  0.0000  4 K 3.42, 4 Te 3.57

Entry 9:
K2AlTe | PBEsol | optimized geometry

Results
Calculated density   2.9 g/cm³
DOS(E_F)   0.670 states/eV per atom
Distance to the lowest polymorph of the same formula   0.0275 eV/atom
Space group   No. 166
Formation energy (no corrections)   5.0 kJ per mole of atoms

a = 3.7225 Å, b = 3.7225 Å, c = 11.3669 Å
α = 80.58°, β = 80.58°, γ = 60.00°
Closest atoms and distances in Å follow each position.
Element x y z (fractional)
K  0.2450  0.2450  0.2650  3 Te 3.39, 3 Al 3.66, 6 K 3.72
K  0.7550  0.7550  0.7350  3 Te 3.39, 3 Al 3.66, 6 K 3.72
Te  0.5000  0.5000  0.5000  6 K 3.39, 6 Te 3.72
Al  0.0000  0.0000  0.0000  6 K 3.66, 6 Al 3.72

Entry 10:
KAl4Te | PBEsol | optimized geometry

Results
Calculated density   3.4 g/cm³
DOS(E_F)   0.561 states/eV per atom
Space group   No. 216
Formation energy (no corrections)   19.5 kJ per mole of atoms

a = 5.7633 Å, b = 5.7633 Å, c = 5.7633 Å
α = 60.00°, β = 60.00°, γ = 60.00°
Closest atoms and distances in Å follow each position.
Element x y z (fractional)
K  0.7500  0.7500  0.7500  12 Al 3.38, 4 Te 3.53
Te  0.0000  0.0000  0.0000  12 Al 3.38, 4 K 3.53
Al  0.8732  0.3756  0.3756  6 Al 2.87-2.90
Al  0.3756  0.3756  0.3756  6 Al 2.87-2.90
Al  0.3756  0.3756  0.8732  6 Al 2.87-2.90
Al  0.3756  0.8732  0.3756  6 Al 2.87-2.90

Entry 11:
KAlTe2 | PBEsol | optimized geometry

Results
Calculated density   3.8 g/cm³
DOS(E_F)   0.000 states/eV per atom
Space group   No. 15
Formation energy (no corrections)   -72.0 kJ per mole of atoms

a = 8.3069 Å, b = 8.3069 Å, c = 16.5176 Å
α = 97.22°, β = 97.22°, γ = 90.01°
Closest atoms and distances in Å follow each position.
Element x y z (fractional)
Al  0.7097  0.0871  0.8388  4 Te 2.61-2.63
Al  0.9129  0.2903  0.6612  4 Te 2.61-2.63
Al  0.2903  0.9129  0.1612  4 Te 2.61-2.63
Al  0.0871  0.7097  0.3388  4 Te 2.61-2.63
Al  0.4174  0.2904  0.6618  4 Te 2.61-2.63
Al  0.7096  0.5826  0.8382  4 Te 2.61-2.63
Al  0.5826  0.7096  0.3382  4 Te 2.61-2.63
Al  0.2904  0.4174  0.1618  4 Te 2.61-2.63
K  0.2208  0.8483  0.8910  6 Te 3.48-3.62
K  0.1517  0.7792  0.6090  6 Te 3.48-3.62
K  0.7792  0.1517  0.1090  6 Te 3.48-3.62
K  0.8483  0.2208  0.3910  6 Te 3.48-3.62
K  0.6546  0.7783  0.6169  6 Te 3.57-3.66
K  0.2217  0.3454  0.8831  6 Te 3.57-3.66
K  0.3454  0.2217  0.3831  6 Te 3.57-3.66
K  0.7783  0.6546  0.1169  6 Te 3.57-3.66
Te  0.4249  0.5751  0.7500  2 Al 2.61
Te  0.5751  0.4249  0.2500  2 Al 2.61
Te  0.9494  0.0506  0.7500  2 Al 2.61
Te  0.0506  0.9494  0.2500  2 Al 2.61
Te  0.7348  0.8585  0.9361  2 Al 2.63
Te  0.1415  0.2652  0.5639  2 Al 2.63
Te  0.2652  0.1415  0.0639  2 Al 2.63
Te  0.8585  0.7348  0.4361  2 Al 2.63
Te  0.4253  0.0501  0.7502  2 Al 2.61
Te  0.9499  0.5747  0.7498  2 Al 2.61
Te  0.5747  0.9499  0.2498  2 Al 2.61
Te  0.0501  0.4253  0.2502  2 Al 2.61
Te  0.6396  0.2654  0.5621  2 Al 2.62
Te  0.7346  0.3604  0.9379  2 Al 2.62
Te  0.3604  0.7346  0.4379  2 Al 2.62
Te  0.2654  0.6396  0.0621  2 Al 2.62

Entry 12:
KAlTe2 | PBEsol | optimized geometry

Results
Calculated density   3.6 g/cm³
Space group   No. 65
Formation energy (no corrections)   -33.1 kJ per mole of atoms

a = 3.9740 Å, b = 4.5573 Å, c = 9.0228 Å
α = 90.00°, β = 90.00°, γ = 115.85°
Closest atoms and distances in Å follow each position.
Element x y z (fractional)
K  0.5000  0.0000  0.0000  4 Te 3.36
Te  0.0000  0.0000  0.7003  2 Al 2.69
Te  0.0000  0.0000  0.2997  2 Al 2.69
Al  0.5000  0.0000  0.5000  4 Te 2.69

Which value of formation energy (no corrections) does entry 7 give?
-72.9 kJ per mole of atoms

formation energy (no corrections) of number 12 (KAlTe2)?
-33.1 kJ per mole of atoms